P) Material: RbTmTeO
Method: DFT, PBE-GGA
State: optimized geometry

a = 4.275 Å, b = 4.275 Å, c = 10.748 Å
α = 90.00°, β = 90.00°, γ = 90.00°
Positions (direct):
Rb 0.250 0.750 0.000
Rb 0.750 0.250 0.000
Tm 0.250 0.250 0.422
Tm 0.750 0.750 0.578
Te 0.250 0.250 0.753
Te 0.750 0.750 0.247
O 0.250 0.750 0.500
O 0.750 0.250 0.500

## Properties
Calculated volume   196 Å³/cell
M_tot   0.00 μB/atom
Theoretical density   6.73 g cm⁻³



Q) Material: RbTmTeO
Method: DFT, PBE-GGA
State: optimized geometry

a = 4.756 Å, b = 8.703 Å, c = 6.934 Å
α = 90.00°, β = 90.00°, γ = 90.00°
Positions (direct):
Rb 0.000 0.213 0.000
Rb 0.000 0.787 0.500
Tm 0.500 0.396 0.410
Tm 0.500 0.604 0.910
Te 0.000 0.207 0.503
Te 0.000 0.793 0.003
O 0.500 0.427 0.111
O 0.500 0.573 0.611

## Properties
Calculated volume   287 Å³/cell
M_tot   0.00 μB/atom
Theoretical density   4.61 g cm⁻³



Short version: P) is the least stable of them.



P) Material: RbTmTeO
Method: DFT, PBE-GGA
State: optimized geometry

a = 8.047 Å, b = 8.047 Å, c = 8.047 Å
α = 27.68°, β = 27.68°, γ = 27.68°
Positions (direct):
Rb 0.000 0.000 0.000
Tm 0.532 0.532 0.532
Te 0.780 0.780 0.780
O 0.238 0.238 0.238

## Properties
Calculated volume   99 Å³/cell
M_tot   0.00 μB/atom
Theoretical density   6.66 g cm⁻³



Q) Material: RbTmTeO
Method: DFT, PBE-GGA
State: optimized geometry

a = 9.255 Å, b = 7.343 Å, c = 6.615 Å
α = 90.00°, β = 98.59°, γ = 90.00°
Positions (direct):
Rb 0.132 0.091 0.337
Rb 0.132 0.409 0.837
Rb 0.868 0.591 0.163
Rb 0.868 0.909 0.663
Tm 0.493 0.635 0.793
Tm 0.493 0.865 0.293
Tm 0.507 0.135 0.707
Tm 0.507 0.365 0.207
Te 0.255 0.578 0.378
Te 0.255 0.922 0.878
Te 0.745 0.078 0.122
Te 0.745 0.422 0.622
O 0.433 0.142 0.386
O 0.433 0.358 0.886
O 0.567 0.642 0.114
O 0.567 0.858 0.614

## Properties
Calculated volume   445 Å³/cell
M_tot   0.00 μB/atom
Theoretical density   5.95 g cm⁻³



Short version: P) is the least stable of them.



P) Material: Re2O
Method: DFT, PBE-GGA
State: optimized geometry

a = 3.835 Å, b = 3.835 Å, c = 3.835 Å
α = 60.00°, β = 60.00°, γ = 60.00°
Positions (direct):
Re 0.250 0.250 0.250
Re 0.750 0.750 0.750
O 0.000 0.000 0.000

## Properties
Calculated volume   40 Å³/cell
M_tot   0.00 μB/atom
Theoretical density   16.18 g cm⁻³



Q) Material: Re2O
Method: DFT, PBE-GGA
State: optimized geometry

a = 5.065 Å, b = 5.065 Å, c = 5.065 Å
α = 60.00°, β = 60.00°, γ = 60.00°
Positions (direct):
Re 0.000 0.000 0.000
Re 0.000 0.000 0.500
Re 0.000 0.500 0.000
Re 0.500 0.000 0.000
O 0.375 0.375 0.375
O 0.625 0.625 0.625

## Properties
Calculated volume   92 Å³/cell
M_tot   0.00 μB/atom
Theoretical density   14.04 g cm⁻³



Short version: Q) is the least stable of them.